PBE La8Sm6In, optimized geometry; energy of formation from the pure elements = 0.053 eV/atom; total magnetization = 0.00 μB per cell; SG = P-3
1.0
6.800 0.000 0.000
0.000 8.162 -4.712
0.000 0.000 9.425
La Sm In
8 6 1
direct
0.827 0.047 0.277
0.827 0.723 0.770
0.827 0.230 0.953
0.173 0.953 0.723
0.173 0.277 0.230
0.173 0.770 0.047
0.876 0.333 0.667
0.124 0.667 0.333
0.655 0.656 0.097
0.655 0.903 0.559
0.655 0.441 0.344
0.345 0.344 0.903
0.345 0.097 0.441
0.345 0.559 0.656
0.500 0.000 0.000

***

PBE Be3MoCl, optimized geometry; ΔE to the lowest computed polymorph = 354.6 meV per atom; energy relative to the elements, uncorrected = 7.9 eV per formula unit; total magnetization = 3.06 μB per cell; SG = Pm-3m
1.0
-3.484 2.960 0.545
-2.740 -3.464 1.297
1.244 0.658 4.383
Be Mo Cl
3 1 1
direct
0.000 0.500 0.000
0.000 0.000 0.500
0.500 0.000 0.000
0.000 0.000 0.000
0.500 0.500 0.500

***

PBE LiRePb2, optimized geometry; ΔE to the lowest computed polymorph = 71.1 meV per atom; energy of formation from the pure elements = 0.537 eV/atom; total magnetization = 0.00 μB per cell; SG = Amm2
1.0
4.470 0.000 0.000
0.000 3.526 0.001
0.000 1.762 5.216
Li Pb Re
1 2 1
direct
0.500 0.545 0.784
0.000 0.986 0.902
0.500 0.264 0.347
0.000 0.704 0.467

***

PBE AlV2Au2, optimized geometry; ΔE to the lowest computed polymorph = 59.6 meV per atom; energy of formation from the pure elements = 0.140 eV/atom; total magnetization = 7.88 μB per cell; SG = P4/mbm
1.0
-2.552 4.499 4.765
-3.987 -5.125 2.703
2.571 -0.851 2.180
Au Al V
4 2 4
direct
0.356 0.856 0.000
0.856 0.644 0.000
0.644 0.144 0.000
0.144 0.356 0.000
0.000 0.000 0.000
0.500 0.500 0.000
0.154 0.654 0.500
0.654 0.846 0.500
0.846 0.346 0.500
0.346 0.154 0.500

***

Table of DOS(E_F) (states/eV/atom), in record order: 1.480, 0.389, 0.659, 1.075